Below is crystalline Ga2CoO4 at its relaxed geometry, with properties calculated at the PBE with a Hubbard U level.

Unit cell a=5.9545 b=5.9545 c=5.9545 alpha=121.04 beta=119.46 gamma=89.57
Closest atoms and distances in Å follow each position.
Fractional coordinates of all 14 atoms:
Ga 0.0000 0.0000 0.0000  6 O 2.00-2.04
Ga 0.3848 0.6348 0.7500  4 O 1.89-1.92
Ga 0.5000 0.0000 0.5000  6 O 2.00-2.04
Ga 0.6152 0.3652 0.2500  4 O 1.89-1.92
Co 0.0000 0.0000 0.5000  6 O 2.07-2.13
Co 0.0000 0.5000 0.0000  6 O 2.07-2.13
O 0.2296 0.2361 0.9935  2 Ga 1.89-2.00, 2 Co 2.07
O 0.2516 0.2368 0.4852  3 Ga 1.92-2.04, 1 Co 2.13
O 0.2516 0.7664 0.0148  3 Ga 1.92-2.04, 1 Co 2.13
O 0.2574 0.7639 0.4935  2 Ga 1.89-2.00, 2 Co 2.07
O 0.7426 0.2361 0.5065  2 Ga 1.89-2.00, 2 Co 2.07
O 0.7484 0.2336 0.9852  3 Ga 1.92-2.04, 1 Co 2.13
O 0.7484 0.7632 0.5148  3 Ga 1.92-2.04, 1 Co 2.13
O 0.7704 0.7639 0.0065  2 Ga 1.89-2.00, 2 Co 2.07

Polymorph energy (0 for the lowest one) ... 0.11 eV/f.u.